The following is a DFT calculation (PBE-GGA) of crystalline Ca3PbI8 at its relaxed geometry.

```
Ca3PbI8
1.0
-4.867 3.657 6.877
0.982 -9.112 -0.593
12.225 0.781 8.237
Ca Pb I
6 2 16
Direct
0.832 0.664 0.716 Ca
0.336 0.168 0.716 Ca
0.832 0.168 0.716 Ca
0.168 0.832 0.216 Ca
0.664 0.832 0.216 Ca
0.168 0.336 0.216 Ca
0.667 0.333 0.975 Pb
0.333 0.667 0.475 Pb
0.840 0.680 0.096 I
0.507 0.493 0.840 I
0.667 0.333 0.597 I
0.000 0.000 0.831 I
0.000 0.000 0.331 I
0.320 0.160 0.096 I
0.987 0.493 0.840 I
0.507 0.013 0.840 I
0.160 0.840 0.596 I
0.840 0.160 0.096 I
0.493 0.987 0.340 I
0.013 0.507 0.340 I
0.333 0.667 0.097 I
0.680 0.840 0.596 I
0.493 0.507 0.340 I
0.160 0.320 0.596 I
```

Final energy: -0.2359 Ry per atom
Formation energy without anion corrections: -1367 meV/atom
Symmetry: P6_3mc (186)

---

The following is a DFT calculation (PBE-GGA) of crystalline CaPbI2 at its relaxed geometry.

```
CaPbI2
1.0
8.937 0.000 0.000
0.000 8.937 0.000
4.468 4.468 3.829
Pb I Ca
2 4 2
Direct
0.000 0.000 0.000 Pb
0.750 0.250 0.500 Pb
0.602 0.125 0.250 I
0.148 0.625 0.250 I
0.375 0.398 0.750 I
0.875 0.852 0.750 I
0.500 0.500 0.000 Ca
0.250 0.750 0.500 Ca
```

Distance to the lowest polymorph of the same formula: 0 meV per atom
Final energy: -0.2093 Ry per atom
Formation energy without anion corrections: -646 meV/atom
Symmetry: I-42d (122)

---

The following is a DFT calculation (PBE-GGA) of crystalline CaPb3I at its relaxed geometry.

```
CaPb3I
1.0
-3.331 1.573 4.809
1.675 -5.090 2.826
4.775 2.884 2.364
Pb I Ca
3 1 1
Direct
0.000 0.500 0.000 Pb
0.000 0.000 0.500 Pb
0.500 0.000 0.000 Pb
0.500 0.500 0.500 I
0.000 0.000 0.000 Ca
```

Distance to the lowest polymorph of the same formula: 64 meV per atom
Final energy: -0.1824 Ry per atom
Formation energy without anion corrections: 453 meV/atom
Symmetry: Pm-3m (221)

---

| no. | total magnetic moment (μB per formula unit) |
| --- | --- |
| 1 | 0.00 |
| 2 | 0.00 |
| 3 | 0.00 |